This record from Alexandria describes CaLa2Cd at its PBEsol-relaxed geometry. The functional is meta-GGA SCAN.

Cell: 3.6274 4.5752 7.3566 Å, 90.00 90.00 90.00°
Element x y z (fractional)
La  0.5000  0.5000  0.2114
Ca  0.0000  0.0000  0.5312
La  0.0000  0.0000  0.0043
Cd  0.5000  0.5000  0.7531

Energy of formation, eV/atom: -0.141
Symmetry: Pmm2 (25)
DOS(E_F), states/eV/f.u.: 3.5

---

This record from Alexandria describes In2IrRuCl at its PBEsol-relaxed geometry. The functional is meta-GGA SCAN.

Cell: 4.5430 5.1774 5.1774 Å, 90.00 90.00 90.00°
Site moments in Bohr magnetons follow the coordinates.
Element x y z (fractional)
Ru  0.0000  0.0000  0.0000  0.06
In  0.0000  0.5000  0.0000  0.00
Cl  0.5000  0.5000  0.5000  0.03
In  0.0000  0.0000  0.5000  0.00
Ir  0.5000  0.0000  0.0000  0.51

Energy relative to the elements, uncorrected, eV per atom: 0.43
Symmetry: P4/mmm (123)
DOS(E_F), states/eV/f.u.: 3.9

---

This record from Alexandria describes CrP2 at its PBEsol-relaxed geometry. The functional is meta-GGA SCAN.

Cell: 2.9713 4.3149 6.3063 Å, 80.08 76.37 69.86°
Element x y z (fractional)
Cr  0.1569  0.3901  0.2960
P  0.6018  0.1965  0.5999
P  0.1450  0.7393  0.9707
P  0.3982  0.8035  0.4001
P  0.8550  0.2607  0.0293
Cr  0.8431  0.6099  0.7040

Energy of formation, eV/atom: -0.433
Symmetry: C2/m (12)
DOS(E_F), states/eV/f.u.: 0.5

---

This record from Alexandria describes Ca5Cu2Ir2O12 at its PBEsol-relaxed geometry. The functional is meta-GGA SCAN.

Cell: 6.4168 6.4128 6.4449 Å, 91.00 92.66 90.27°
Site moments in Bohr magnetons follow the coordinates.
Element x y z (fractional)
Cu  0.8156  0.2438  0.1687  -0.58
Ca  0.4229  0.2491  0.6083  0.00
Ca  0.2564  0.3785  0.1059  0.00
Ca  0.6072  0.7621  0.4083  0.00
Ir  0.0022  0.4919  0.4954  1.11
O  0.5516  0.9119  0.7241  0.22
O  0.5866  0.2935  0.9647  0.02
Ca  0.1109  0.8803  0.2695  0.00
Cu  0.1810  0.7632  0.8101  -0.56
O  0.7851  0.9476  0.1208  0.00
Ca  0.7464  0.6188  0.8831  0.00
Ir  0.4967  0.9961  0.0059  1.09
O  0.4287  0.0702  0.2958  0.13
O  0.9650  0.7844  0.5943  -0.02
O  0.1098  0.4719  0.7868  -0.01
O  0.7138  0.4471  0.5625  0.20
O  0.9041  0.5378  0.1982  -0.03
O  0.0403  0.2136  0.3698  0.03
O  0.2896  0.5632  0.4261  0.16
O  0.2071  0.0468  0.9162  0.03
O  0.3894  0.7106  0.0453  0.00

Energy relative to the elements, uncorrected, eV per atom: -1.97
Symmetry: P1 (1)
DOS(E_F), states/eV/f.u.: 2.9

---

This record from Alexandria describes ZrZnCr2 at its PBEsol-relaxed geometry. The functional is meta-GGA SCAN.

Cell: 2.5720 4.2609 5.2687 Å, 90.00 99.20 90.00°
Element x y z (fractional)
Zn  0.5000  0.5000  0.0000
Cr  0.2006  0.0000  0.2096
Cr  0.7994  0.0000  0.7904
Zr  0.0000  0.5000  0.5000

Energy of formation, eV/atom: 0.395
Symmetry: P2/m (10)
DOS(E_F), states/eV/f.u.: 4.1

---

This record from Alexandria describes MoPbCl2 at its PBEsol-relaxed geometry. The functional is meta-GGA SCAN.

Cell: 4.4891 4.4891 5.2753 Å, 115.18 115.18 90.00°
Site moments in Bohr magnetons follow the coordinates.
Element x y z (fractional)
Cl  0.7500  0.2500  0.5000  0.06
Pb  0.0000  0.0000  0.0000  -0.01
Mo  0.5000  0.5000  0.0000  3.59
Cl  0.2500  0.7500  0.5000  0.06

Energy relative to the elements, uncorrected, eV per atom: 0.32
Symmetry: I4/mmm (139)
DOS(E_F), states/eV/f.u.: 1.4

---

This record from Alexandria describes Ti5Al11 at its PBEsol-relaxed geometry. The functional is meta-GGA SCAN.

Cell: 3.8931 3.8931 16.3734 Å, 90.00 90.00 90.00°
Element x y z (fractional)
Al  0.5000  0.0000  0.4980
Ti  0.5000  0.5000  0.6164
Al  0.0000  0.5000  0.4980
Al  0.0000  0.5000  0.2497
Ti  0.5000  0.5000  0.1338
Al  0.5000  0.0000  0.0027
Al  0.0000  0.0000  0.6241
Ti  0.5000  0.5000  0.3762
Al  0.5000  0.0000  0.7494
Al  0.5000  0.0000  0.2497
Al  0.5000  0.5000  0.8763
Al  0.0000  0.5000  0.0027
Ti  0.0000  0.0000  0.1196
Ti  0.0000  0.0000  0.8799
Al  0.0000  0.0000  0.3739
Al  0.0000  0.5000  0.7494

Energy of formation, eV/atom: -0.431
Symmetry: P4mm (99)
DOS(E_F), states/eV/f.u.: 6.5

---

This record from Alexandria describes Ba3Sr9Al4O16F4 at its PBEsol-relaxed geometry. The functional is meta-GGA SCAN.

Cell: 6.8326 6.8326 11.1723 Å, 90.00 90.00 90.00°
Element x y z (fractional)
O  0.3625  0.1443  0.8969
O  0.8594  0.3605  0.6046
Al  0.5000  0.0000  0.5000
Sr  0.8308  0.3325  0.2488
Al  0.5000  0.0000  0.0000
Sr  0.3325  0.8308  0.7512
Ba  0.5000  0.5000  0.5000
F  0.5000  0.5000  0.2439
F  0.0000  0.0000  0.7516
O  0.1406  0.6395  0.6046
O  0.6395  0.8594  0.6046
F  0.5000  0.5000  0.7561
O  0.6375  0.1443  0.1031
O  0.1406  0.3605  0.3954
O  0.6375  0.8557  0.8969
Sr  0.1692  0.6675  0.2488
O  0.3605  0.1406  0.6046
Sr  0.6675  0.8308  0.2488
Sr  0.3325  0.1692  0.2488
Sr  0.1692  0.3325  0.7512
O  0.8557  0.3625  0.8969
O  0.1443  0.3625  0.1031
O  0.8557  0.6375  0.1031
O  0.6395  0.1406  0.3954
O  0.3605  0.8594  0.3954
F  0.0000  0.0000  0.2484
Sr  0.5000  0.5000  0.0000
Ba  0.0000  0.0000  0.0000
Al  0.0000  0.5000  0.0000
O  0.3625  0.8557  0.1031
Ba  0.0000  0.0000  0.5000
Al  0.0000  0.5000  0.5000
O  0.8594  0.6395  0.3954
O  0.1443  0.6375  0.8969
Sr  0.8308  0.6675  0.7512
Sr  0.6675  0.1692  0.7512

Energy relative to the elements, uncorrected, eV per atom: -3.37
Symmetry: P422 (89)
DOS(E_F), states/eV/f.u.: 0.0

---

Repeat the fourth record exactly.
This record from Alexandria describes Ca5Cu2Ir2O12 at its PBEsol-relaxed geometry. The functional is meta-GGA SCAN.

Cell: 6.4168 6.4128 6.4449 Å, 91.00 92.66 90.27°
Site moments in Bohr magnetons follow the coordinates.
Element x y z (fractional)
Cu  0.8156  0.2438  0.1687  -0.58
Ca  0.4229  0.2491  0.6083  0.00
Ca  0.2564  0.3785  0.1059  0.00
Ca  0.6072  0.7621  0.4083  0.00
Ir  0.0022  0.4919  0.4954  1.11
O  0.5516  0.9119  0.7241  0.22
O  0.5866  0.2935  0.9647  0.02
Ca  0.1109  0.8803  0.2695  0.00
Cu  0.1810  0.7632  0.8101  -0.56
O  0.7851  0.9476  0.1208  0.00
Ca  0.7464  0.6188  0.8831  0.00
Ir  0.4967  0.9961  0.0059  1.09
O  0.4287  0.0702  0.2958  0.13
O  0.9650  0.7844  0.5943  -0.02
O  0.1098  0.4719  0.7868  -0.01
O  0.7138  0.4471  0.5625  0.20
O  0.9041  0.5378  0.1982  -0.03
O  0.0403  0.2136  0.3698  0.03
O  0.2896  0.5632  0.4261  0.16
O  0.2071  0.0468  0.9162  0.03
O  0.3894  0.7106  0.0453  0.00

Energy relative to the elements, uncorrected, eV per atom: -1.97
Symmetry: P1 (1)
DOS(E_F), states/eV/f.u.: 2.9

---

> Which formula does entry 5 have?

ZrZnCr2